Record 1
The following is a PBE-GGA calculation of a relaxed Pm5Sm2Ho12 crystal, from the Alexandria database.

```
Pm5Sm2Ho12
1.0
9.081 0.000 0.000
-4.540 8.218 3.405
0.000 0.528 8.662
Sm Ho Pm
2 12 5
Direct
0.328 0.000 0.000
0.672 0.000 0.000
0.405 0.252 0.546
0.847 0.252 0.546
0.955 0.910 0.183
0.153 0.748 0.454
0.330 0.292 0.093
0.045 0.090 0.817
0.962 0.292 0.093
0.595 0.748 0.454
0.670 0.708 0.907
0.564 0.129 0.283
0.436 0.871 0.717
0.038 0.708 0.907
0.717 0.433 0.770
0.000 0.000 0.500
0.764 0.528 0.293
0.283 0.567 0.230
0.236 0.472 0.707
```

density: 7919 kg/m3
D(E_F): 1.46 states/eV per atom
excess energy over the best structure of this formula in the dataset: 204 meV/atom
total energy: -4.415 eV/atom
size of the total moment: 0.00 μB per formula unit
energy of formation from the pure elements: 0.22 eV/atom

---

Record 2
The following is a PBE-GGA calculation of a relaxed MgTa3 crystal, from the Alexandria database.

```
MgTa3
1.0
2.913 0.000 0.000
-1.457 2.523 0.000
0.000 0.000 10.337
Mg Ta
1 3
Direct
0.000 0.000 0.000
0.333 0.667 0.749
0.000 0.000 0.500
0.333 0.667 0.251
```

density: 12396 kg/m3
D(E_F): 1.47 states/eV per atom
excess energy over the best structure of this formula in the dataset: 165 meV/atom
total energy: -8.987 eV/atom
size of the total moment: 0.00 μB per formula unit
energy of formation from the pure elements: 0.30 eV/atom

---

Record 3
The following is a PBE-GGA calculation of a relaxed Re2SbPb crystal, from the Alexandria database.

```
Re2SbPb
1.0
6.324 0.022 -0.003
3.679 5.144 0.003
-4.429 -3.690 2.599
Pb Re Sb
1 2 1
Direct
0.223 0.723 0.500
0.958 0.958 0.000
0.786 0.286 0.500
0.533 0.533 0.000
```

E_form (uncorrected): 3.5 eV per formula unit
density: 13802 kg/m3
D(E_F): 0.77 states/eV per atom
excess energy over the best structure of this formula in the dataset: 535 meV/atom
total energy: -7.319 eV/atom
size of the total moment: 0.00 μB per formula unit

---

Record 4
The following is a PBE-GGA calculation of a relaxed MnGeTe crystal, from the Alexandria database.

```
MnGeTe
1.0
3.081 -0.036 -0.219
0.006 3.789 -0.532
-1.712 -2.216 11.782
Mn Te Ge
2 2 2
Direct
0.848 0.762 0.512
0.152 0.238 0.488
0.592 0.597 0.846
0.408 0.403 0.154
0.471 0.921 0.670
0.529 0.079 0.330
```

E_form (uncorrected): 0.7 eV per formula unit
density: 6396 kg/m3
D(E_F): 0.46 states/eV per atom
total energy: -5.407 eV/atom
size of the total moment: 0.17 μB per formula unit

---

Record 5
The following is a PBE-GGA calculation of a relaxed Mg2Cd7In3 crystal, from the Alexandria database.

```
Mg2Cd7In3
1.0
3.334 0.000 0.000
0.000 5.073 -0.204
0.000 -0.878 17.332
Mg Cd In
2 7 3
Direct
0.500 0.250 0.706
0.500 0.750 0.294
0.000 0.273 0.850
0.000 0.000 0.000
0.500 0.767 0.821
0.500 0.259 0.540
0.500 0.741 0.460
0.000 0.727 0.150
0.500 0.233 0.179
0.500 0.500 0.000
0.000 0.745 0.636
0.000 0.255 0.364
```

density: 6698 kg/m3
D(E_F): 0.30 states/eV per atom
total energy: -1.461 eV/atom
size of the total moment: 0.00 μB per formula unit
energy of formation from the pure elements: 0.02 eV/atom

---

Record 6
The following is a PBE-GGA calculation of a relaxed Sc2ZnAg crystal, from the Alexandria database.

```
Sc2ZnAg
1.0
7.585 0.000 0.000
0.000 7.585 0.000
3.793 3.793 2.954
Sc Zn Ag
4 2 2
Direct
0.622 0.125 0.250
0.875 0.872 0.750
0.375 0.378 0.750
0.128 0.625 0.250
0.500 0.500 0.000
0.250 0.750 0.500
0.750 0.250 0.500
0.000 0.000 0.000
```

density: 5142 kg/m3
D(E_F): 1.32 states/eV per atom
total energy: -4.071 eV/atom
size of the total moment: 0.65 μB per formula unit
energy of formation from the pure elements: 0.13 eV/atom

---

Record 7
The following is a PBE-GGA calculation of a relaxed InCu2Mo2 crystal, from the Alexandria database.

```
InCu2Mo2
1.0
5.185 2.787 -2.957
1.483 6.260 -1.419
-2.127 -4.277 4.537
Cu Mo In
2 2 1
Direct
0.250 0.750 0.500
0.750 0.250 0.500
0.402 0.402 0.000
0.598 0.598 0.000
0.000 0.000 0.000
```

density: 8491 kg/m3
D(E_F): 0.77 states/eV per atom
total energy: -5.911 eV/atom
size of the total moment: 0.00 μB per formula unit
energy of formation from the pure elements: 0.61 eV/atom

---

Record 8
The following is a PBE-GGA calculation of a relaxed CeZrPa2 crystal, from the Alexandria database.

```
CeZrPa2
1.0
-0.266 0.200 -3.247
-2.679 -0.301 1.840
-0.719 10.838 0.728
Ce Zr Pa
1 1 2
Direct
0.868 0.132 0.500
0.199 0.801 0.000
0.534 0.466 0.245
0.534 0.466 0.755
```

density: 11458 kg/m3
D(E_F): 2.31 states/eV per atom
excess energy over the best structure of this formula in the dataset: 38 meV/atom
total energy: -8.264 eV/atom
size of the total moment: 0.00 μB per formula unit
energy of formation from the pure elements: 0.10 eV/atom

---

Record 9
The following is a PBE-GGA calculation of a relaxed Tl3CuSn crystal, from the Alexandria database.

```
Tl3CuSn
1.0
5.257 0.000 0.000
0.000 5.257 0.000
0.000 0.000 5.257
Cu Tl Sn
1 3 1
Direct
0.000 0.000 0.000
0.500 0.000 0.000
0.000 0.500 0.000
0.000 0.000 0.500
0.500 0.500 0.500
```

density: 9091 kg/m3
D(E_F): 0.61 states/eV per atom
excess energy over the best structure of this formula in the dataset: 0 meV/atom
total energy: -2.794 eV/atom
size of the total moment: 0.00 μB per formula unit
energy of formation from the pure elements: 0.25 eV/atom

---

Record 10
The following is a PBE-GGA calculation of a relaxed ScRu2Rh crystal, from the Alexandria database.

```
ScRu2Rh
1.0
4.677 0.000 0.000
0.000 2.844 -0.003
0.000 0.582 4.670
Sc Ru Rh
1 2 1
Direct
0.500 0.250 0.250
0.000 0.547 0.510
0.000 0.953 0.990
0.500 0.750 0.750
```

density: 9356 kg/m3
D(E_F): 1.74 states/eV per atom
total energy: -8.129 eV/atom
size of the total moment: 0.00 μB per formula unit
energy of formation from the pure elements: -0.07 eV/atom

---

Record 11
The following is a PBE-GGA calculation of a relaxed Pm4GeP2Cl crystal, from the Alexandria database.

```
Pm4GeP2Cl
1.0
4.146 0.000 0.000
0.000 7.228 -0.184
0.000 2.506 6.738
Pm P Cl Ge
4 2 1 1
Direct
0.500 0.760 0.251
0.000 0.230 0.266
0.000 0.770 0.734
0.500 0.240 0.749
0.000 0.000 0.000
0.500 0.000 0.500
0.500 0.500 0.000
0.000 0.500 0.500
```

E_form (uncorrected): -11.6 eV per formula unit
density: 6111 kg/m3
D(E_F): 0.32 states/eV per atom
total energy: -5.987 eV/atom
size of the total moment: 0.00 μB per formula unit

---

Record 12
The following is a PBE-GGA calculation of a relaxed Nd6Mn3S14 crystal, from the Alexandria database.

```
Nd6Mn3S14
1.0
-3.806 2.470 3.747
-6.822 0.657 -7.361
0.373 -8.213 5.793
S Mn Nd
14 3 6
Direct
0.480 0.571 0.815
0.460 0.000 0.000
0.480 0.185 0.756
0.703 0.808 0.565
0.259 0.581 0.480
0.480 0.244 0.429
0.259 0.520 0.101
0.703 0.435 0.243
0.978 0.758 0.845
0.703 0.757 0.192
0.978 0.155 0.913
0.978 0.087 0.242
0.259 0.899 0.419
0.966 0.333 0.667
0.841 0.000 0.000
0.476 0.667 0.333
0.341 0.333 0.667
0.747 0.438 0.964
0.252 0.809 0.102
0.747 0.526 0.562
0.252 0.293 0.191
0.252 0.898 0.707
0.747 0.036 0.474
```

E_form (uncorrected): -34.2 eV per formula unit
density: 4765 kg/m3
D(E_F): 0.42 states/eV per atom
total energy: -6.439 eV/atom
size of the total moment: 11.01 μB per formula unit